Entry from Alexandria via LeMat-Bulk: crystalline CsMn3Tl4F12 at its relaxed geometry (PBE+U).

Results
Final energy, eV per atom: -4.988
DOS(E_F), states/eV/cell: 6.783

CIF file:
```
data_CsMn3Tl4F12
_cell_length_a 9.0671
_cell_length_b 9.0671
_cell_length_c 9.0671
_cell_angle_alpha 90.00
_cell_angle_beta 90.00
_cell_angle_gamma 90.00
_space_group_name_H-M_alt 'I m -3 m'
_space_group_IT_number 229
_space_group_name_Hall '-I 4 2 3'
loop_
_atom_site_label
_atom_site_type_symbol
_atom_site_fract_x
_atom_site_fract_y
_atom_site_fract_z
Cs1 Cs 0.0000 0.0000 0.0000
Mn1 Mn 0.0000 0.0000 0.5000
Tl1 Tl 0.2500 0.2500 0.2500
F1 F 0.0000 0.0000 0.2896
F2 F 0.0000 0.2500 0.5000
```